Model 1:
5
Lattice="4.892 0.000 0.000 0.000 4.892 0.000 0.000 0.000 4.892" Properties=species:S:1:pos:R:3 comment="ScSnPd3 PBE optimized geometry" crystal_system=cubic pbc="T T T"
Sn 0.000 0.000 0.000
Sc 2.446 2.446 2.446
Pd 2.446 0.000 0.000
Pd 0.000 2.446 0.000
Pd 0.000 0.000 2.446


Model 2:
10
Lattice="-2.703 -3.623 1.647 2.356 0.141 4.178 -6.344 3.118 3.473" Properties=species:S:1:pos:R:3 comment="ScSnPd3 PBE optimized geometry" crystal_system=orthorhombic pbc="T T T"
Pd -6.276 -0.284 7.683
Sc -4.018 0.633 6.379
Pd -4.118 -0.502 3.718
Pd -6.096 1.451 4.767
Pd -1.622 1.413 5.001
Sn -6.566 -1.231 5.123
Pd -2.167 -2.429 2.682
Sc -1.722 0.278 2.340
Pd 0.356 -0.540 3.951
Sn -1.878 -1.481 5.243


Of them, model 1 has the lowest stability.


Model 1:
10
Lattice="8.170 0.000 0.000 0.000 8.170 0.000 0.000 0.000 3.405" Properties=species:S:1:pos:R:3 comment="Sc2Sn2Pd PBE optimized geometry" crystal_system=tetragonal pbc="T T T"
Pd 4.085 4.085 0.000
Pd 0.000 0.000 0.000
Sc 3.019 7.104 0.000
Sc 1.065 3.019 0.000
Sn 1.434 5.519 1.703
Sc 7.104 5.150 0.000
Sn 2.651 1.434 1.703
Sn 6.736 2.651 1.703
Sc 5.150 1.065 0.000
Sn 5.519 6.736 1.703


Model 2:
5
Lattice="-0.859 -0.156 -3.844 1.750 -3.524 -0.248 -6.314 -5.312 -0.394" Properties=species:S:1:pos:R:3 comment="Sc2Sn2Pd PBE optimized geometry" crystal_system=tetragonal pbc="T T T"
Pd 0.000 0.000 0.000
Sc -0.843 -2.502 -1.731
Sc -4.581 -6.491 -2.754
Sn -3.364 -3.654 -3.142
Sn -2.060 -5.338 -1.344


Of them, model 2 has the lowest stability.


Model 1:
5
Lattice="4.936 0.000 0.000 0.000 4.936 0.000 2.468 2.468 5.304" Properties=species:S:1:pos:R:3 comment="SrSc2Pd2 PBE optimized geometry" crystal_system=tetragonal pbc="T T T"
Sr 0.000 0.000 0.000
Pd 2.468 4.936 2.652
Sc 4.936 4.936 3.647
Sc 2.468 2.468 1.658
Pd 4.936 2.468 2.652


Model 2:
10
Lattice="-3.528 -3.086 -6.883 -0.326 -7.529 3.543 -2.805 0.659 1.142" Properties=species:S:1:pos:R:3 comment="SrSc2Pd2 PBE optimized geometry" crystal_system=tetragonal pbc="T T T"
Sc -2.275 -2.950 -3.884
Pd -2.659 -1.918 -1.217
Sc -3.266 -7.439 -3.729
Pd -4.482 -4.838 -4.011
Pd -2.176 -5.118 1.813
Sr 0.000 0.000 0.000
Sr -1.927 -5.307 -1.670
Sc -0.587 -3.176 0.389
Pd -4.000 -8.038 -0.980
Sc -1.579 -7.665 0.544


Of them, model 1 has the lowest stability.


Model 1:
6
Lattice="4.543 0.000 0.000 0.000 4.543 0.000 0.000 0.000 8.190" Properties=species:S:1:pos:R:3 comment="SrScPd PBE optimized geometry" crystal_system=tetragonal pbc="T T T"
Sr 0.000 2.271 6.967
Sr 2.271 0.000 1.223
Sc 2.271 2.271 4.095
Pd 0.000 2.271 2.524
Sc 0.000 0.000 4.095
Pd 2.271 0.000 5.666


Model 2:
3
Lattice="3.550 0.000 0.000 0.000 3.550 0.000 -1.775 -1.775 6.361" Properties=species:S:1:pos:R:3 comment="SrScPd PBE optimized geometry" crystal_system=tetragonal pbc="T T T"
Pd 0.000 0.000 3.881
Sr 1.775 1.775 6.123
Sc 1.775 1.775 2.719


Of them, model 2 has the lowest stability.


Model 1:
8
Lattice="11.287 0.000 0.000 0.000 11.287 0.000 5.643 5.643 2.543" Properties=species:S:1:pos:R:3 comment="Sr2ScPd PBE optimized geometry" crystal_system=tetragonal pbc="T T T"
Sr 10.179 2.822 0.636
Sr 14.108 4.536 1.907
Sc 5.643 11.287 1.272
Sc 5.643 5.643 0.000
Sr 8.465 6.751 1.907
Sr 12.394 8.465 0.636
Pd 0.000 0.000 0.000
Pd 11.287 5.643 1.272


Model 2:
4
Lattice="0.000 3.939 3.939 3.939 0.000 3.939 3.939 3.939 0.000" Properties=species:S:1:pos:R:3 comment="Sr2ScPd PBE optimized geometry" crystal_system=cubic pbc="T T T"
Sr 5.909 5.909 5.909
Pd 3.939 3.939 3.939
Sc 0.000 0.000 0.000
Sr 1.970 1.970 1.970


Of them, model 2 has the lowest stability.


Model 1:
8
Lattice="-7.104 -2.409 0.141 2.368 -7.044 -1.036 -2.189 -5.088 2.421" Properties=species:S:1:pos:R:3 comment="Sc2TaPd PBE optimized geometry" crystal_system=tetragonal pbc="T T T"
Sc -0.210 -6.062 -0.020
Pd -1.095 -8.429 0.469
Pd -2.368 -4.726 -0.448
Sc -5.871 -11.835 1.070
Ta -5.831 -6.112 1.057
Ta 0.000 0.000 0.000
Sc -3.333 -7.613 1.443
Sc -4.437 -3.572 0.559


Model 2:
4
Lattice="-1.105 -2.960 -0.144 1.106 -0.554 2.911 -6.668 2.345 2.980" Properties=species:S:1:pos:R:3 comment="Sc2TaPd PBE optimized geometry" crystal_system=tetragonal pbc="T T T"
Sc -5.153 1.812 2.303
Pd 0.000 -1.757 1.384
Ta -3.333 -0.585 2.874
Sc -1.515 0.533 0.677


Of them, model 1 has the lowest stability.


Model 1:
4
Lattice="-9.985 -0.078 0.747 -9.289 -0.540 3.700 -9.396 2.314 2.577" Properties=species:S:1:pos:R:3 comment="Sc2TaPd PBE optimized geometry" crystal_system=trigonal pbc="T T T"
Sc -26.231 1.552 6.426
Ta -14.335 0.848 3.512
Sc -2.440 0.144 0.598
Pd 0.000 0.000 0.000


Model 2:
4
Lattice="7.263 -6.280 3.503 8.719 -5.224 1.079 8.796 -3.686 3.675" Properties=species:S:1:pos:R:3 comment="Sc2TaPd PBE optimized geometry" crystal_system=trigonal pbc="T T T"
Ta 0.000 0.000 0.000
Pd 12.389 -7.595 4.129
Sc 2.315 -1.419 0.771
Sc 22.463 -13.771 7.487


Of them, model 2 has the lowest stability.


Model 1:
4
Lattice="-2.173 0.519 2.631 -2.576 -1.345 -1.863 1.474 -6.208 2.444" Properties=species:S:1:pos:R:3 comment="TbScZnPd PBE optimized geometry" crystal_system=tetragonal pbc="T T T"
Pd -2.178 -1.241 0.710
Tb 1.269 -5.341 2.102
Sc 0.523 -2.202 0.867
Zn -1.520 -4.010 1.800


Model 2:
4
Lattice="4.879 0.000 0.000 2.439 4.225 0.000 2.439 1.408 3.983" Properties=species:S:1:pos:R:3 comment="TbScZnPd PBE optimized geometry" crystal_system=cubic pbc="T T T"
Tb 7.318 4.225 2.988
Sc 2.439 1.408 0.996
Pd 4.879 2.817 1.992
Zn 0.000 0.000 0.000


Of them, model 2 has the lowest stability.


Model 1:
11
Lattice="-3.460 3.028 1.275 -4.003 -2.828 -4.148 1.109 -5.167 6.356" Properties=species:S:1:pos:R:3 comment="Sc8TcPd2 PBE optimized geometry" crystal_system=monoclinic pbc="T T T"
Tc -1.730 1.514 0.637
Pd -3.345 -1.655 3.782
Sc -2.734 -4.534 3.351
Pd -3.009 -3.312 -0.299
Sc -5.775 -2.396 -1.052
Sc -3.147 -2.523 6.378
Sc -4.947 -2.728 1.983
Sc -3.206 -2.445 -2.895
Sc -0.579 -2.571 4.535
Sc -1.407 -2.239 1.500
Sc -3.620 -0.433 0.132


Model 2:
11
Lattice="-1.872 2.659 -4.060 -4.745 -5.783 0.250 -0.330 5.179 5.393" Properties=species:S:1:pos:R:3 comment="Sc8TcPd2 PBE optimized geometry" crystal_system=monoclinic pbc="T T T"
Pd -2.633 3.226 1.849
Sc -2.716 0.200 -1.829
Sc -1.695 2.734 -0.640
Sc -2.213 0.272 1.319
Tc -0.125 0.137 -0.184
Pd -4.401 -1.162 -0.210
Sc -5.242 -0.744 2.315
Sc -5.693 -0.898 -2.744
Sc -4.762 1.750 0.358
Sc -4.211 1.815 3.515
Sc -3.084 5.582 0.296


Of them, model 2 has the lowest stability.


Model 1:
5
Lattice="4.702 0.000 0.000 0.000 4.702 0.000 0.000 0.000 4.702" Properties=species:S:1:pos:R:3 comment="ScTc3Pd PBE optimized geometry" crystal_system=cubic pbc="T T T"
Tc 0.000 2.351 0.000
Tc 0.000 0.000 2.351
Pd 0.000 0.000 0.000
Sc 2.351 2.351 2.351
Tc 2.351 0.000 0.000


Model 2:
5
Lattice="4.521 0.000 0.000 0.000 4.521 0.000 0.000 0.000 4.521" Properties=species:S:1:pos:R:3 comment="ScTc3Pd PBE optimized geometry" crystal_system=cubic pbc="T T T"
Tc 0.000 2.261 0.000
Tc 0.000 0.000 2.261
Pd 2.261 2.261 2.261
Sc 0.000 0.000 0.000
Tc 2.261 0.000 0.000


Of them, model 2 has the lowest stability.


Model 1:
5
Lattice="-0.488 -4.846 -2.492 5.409 -0.128 -0.811 0.660 -2.536 4.803" Properties=species:S:1:pos:R:3 comment="ScTe3Pd PBE optimized geometry" crystal_system=cubic pbc="T T T"
Te 0.330 -1.268 2.401
Sc 0.000 0.000 0.000
Te -0.244 -2.423 -1.246
Te 2.705 -0.064 -0.405
Pd 2.791 -3.755 0.750


Model 2:
5
Lattice="5.266 0.000 0.000 0.000 5.266 0.000 0.000 0.000 5.266" Properties=species:S:1:pos:R:3 comment="ScTe3Pd PBE optimized geometry" crystal_system=cubic pbc="T T T"
Pd 0.000 0.000 0.000
Te 0.000 2.633 0.000
Sc 2.633 2.633 2.633
Te 0.000 0.000 2.633
Te 2.633 0.000 0.000


Of them, model 1 has the lowest stability.


Model 1:
4
Lattice="3.381 0.000 0.000 0.000 3.381 0.000 0.000 0.000 8.029" Properties=species:S:1:pos:R:3 comment="ThSc2Pd PBE optimized geometry" crystal_system=tetragonal pbc="T T T"
Pd 1.691 1.691 0.000
Sc 0.000 0.000 6.437
Th 1.691 1.691 4.015
Sc 0.000 0.000 1.592


Model 2:
4
Lattice="-0.590 2.803 -1.885 -1.639 -0.265 -3.000 -9.093 2.082 2.823" Properties=species:S:1:pos:R:3 comment="ThSc2Pd PBE optimized geometry" crystal_system=trigonal pbc="T T T"
Pd -1.496 1.693 -3.252
Th -5.631 2.305 -1.047
Sc -2.409 1.093 -0.740
Sc -7.447 1.838 1.946


Model 3:
16
Lattice="6.075 0.000 0.000 0.000 6.655 0.000 0.000 0.000 9.660" Properties=species:S:1:pos:R:3 comment="ThSc2Pd PBE optimized geometry" crystal_system=orthorhombic pbc="T T T"
Pd 3.643 0.730 7.245
Pd 5.470 4.057 7.245
Sc 4.028 5.436 9.182
Sc 4.028 5.436 5.309
Th 3.868 3.445 2.415
Sc 2.047 1.219 4.352
Th 0.830 6.537 7.245
Sc 2.047 1.219 0.479
Sc 5.085 2.109 5.309
Pd 2.432 5.925 2.415
Sc 0.990 4.547 0.479
Sc 0.990 4.547 4.352
Pd 0.606 2.598 2.415
Th 5.245 0.118 2.415
Th 2.207 3.210 7.245
Sc 5.085 2.109 9.182


Of them, model 2 has the lowest stability.